## ZrHg3P (PBEsol)

Data for an optimized crystal structure of ZrHg3P.

Cell lengths 4.875, 4.875, 4.875 Å; angles 90.00, 90.00, 90.00 degrees
Atoms (fractional coordinates):
Zr: 0.000 0.000 0.000
Hg: 0.000 0.500 0.500
Hg: 0.500 0.000 0.500
Hg: 0.500 0.500 0.000
P: 0.500 0.500 0.500

Values from the calculation:
ΔH_f (0 K) (eV per atom): 0.65
Energy (eV/atom): -2.667

=====

## Zr2HgP (PBEsol)

Data for an optimized crystal structure of Zr2HgP.

Cell lengths 6.678, 6.678, 6.678 Å; angles 90.00, 90.00, 90.00 degrees
Atoms (fractional coordinates):
Zr: 0.250 0.250 0.250
Zr: 0.250 0.250 0.750
Zr: 0.250 0.750 0.250
Zr: 0.250 0.750 0.750
Zr: 0.750 0.250 0.250
Zr: 0.750 0.250 0.750
Zr: 0.750 0.750 0.250
Zr: 0.750 0.750 0.750
Hg: 0.000 0.000 0.000
Hg: 0.000 0.500 0.500
Hg: 0.500 0.000 0.500
Hg: 0.500 0.500 0.000
P: 0.000 0.000 0.500
P: 0.000 0.500 0.000
P: 0.500 0.000 0.000
P: 0.500 0.500 0.500

Values from the calculation:
ΔH_f (0 K) (eV per atom): -0.47
Energy (eV/atom): -6.609
Excess energy over the best structure of this formula in the dataset (eV per formula unit): 1.63

=====

## Zr2HgP (PBEsol)

Data for an optimized crystal structure of Zr2HgP.

Cell lengths 6.319, 3.537, 7.485 Å; angles 90.00, 104.59, 90.00 degrees
Atoms (fractional coordinates):
Zr: 0.230 0.000 0.200
Zr: 0.270 0.500 0.800
Zr: 0.730 0.500 0.200
Zr: 0.770 0.000 0.800
Hg: 0.000 0.000 0.500
Hg: 0.500 0.500 0.500
P: 0.000 0.500 0.000
P: 0.500 0.000 0.000

Values from the calculation:
ΔH_f (0 K) (eV per atom): -0.88
Energy (eV/atom): -7.016
Excess energy over the best structure of this formula in the dataset (eV per formula unit): 0.00

=====

## Zr2HgP (PBEsol)

Data for an optimized crystal structure of Zr2HgP.

Cell lengths 3.179, 3.179, 7.418 Å; angles 90.00, 90.00, 90.00 degrees
Atoms (fractional coordinates):
Zr: 0.000 0.000 0.209
Zr: 0.000 0.000 0.791
Hg: 0.500 0.500 0.500
P: 0.500 0.500 0.000

Values from the calculation:
ΔH_f (0 K) (eV per atom): -0.67
Energy (eV/atom): -6.805
Excess energy over the best structure of this formula in the dataset (eV per formula unit): 0.84

=====

## ZrHgP (PBEsol)

Data for an optimized crystal structure of ZrHgP.

Cell lengths 3.768, 3.768, 5.162 Å; angles 90.00, 90.00, 120.00 degrees
Atoms (fractional coordinates):
Zr: 0.000 0.000 0.000
Hg: 0.667 0.333 0.588
P: 0.333 0.667 0.247

Values from the calculation:
ΔH_f (0 K) (eV per atom): -0.34
Energy (eV/atom): -5.487

=====

## Zr2HgP (PBEsol)

Data for an optimized crystal structure of Zr2HgP.

Cell lengths 3.100, 3.458, 7.156 Å; angles 90.00, 98.13, 90.00 degrees
Atoms (fractional coordinates):
Zr: 0.094 0.000 0.282
Zr: 0.906 0.000 0.718
Hg: 0.500 0.500 0.000
P: 0.500 0.500 0.500

Values from the calculation:
ΔH_f (0 K) (eV per atom): -0.71
Energy (eV/atom): -6.840
Excess energy over the best structure of this formula in the dataset (eV per formula unit): 0.70

=====

Please write out number 4 again, unchanged.
## Zr2HgP (PBEsol)

Data for an optimized crystal structure of Zr2HgP.

Cell lengths 3.179, 3.179, 7.418 Å; angles 90.00, 90.00, 90.00 degrees
Atoms (fractional coordinates):
Zr: 0.000 0.000 0.209
Zr: 0.000 0.000 0.791
Hg: 0.500 0.500 0.500
P: 0.500 0.500 0.000

Values from the calculation:
ΔH_f (0 K) (eV per atom): -0.67
Energy (eV/atom): -6.805
Excess energy over the best structure of this formula in the dataset (eV per formula unit): 0.84